1.
# Pr4Nd2SmCd

An optimized crystal structure of Pr4Nd2SmCd (PBE, Alexandria).

a b c (Å): 5.902 5.902 7.682
angles (deg): 90.00 90.00 90.00
Fractional positions:
Pr 0.000 0.500 0.230
Pr 0.000 0.500 0.770
Pr 0.500 0.000 0.230
Pr 0.500 0.000 0.770
Nd 0.000 0.000 0.000
Nd 0.500 0.500 0.500
Sm 0.000 0.000 0.500
Cd 0.500 0.500 0.000

***

2.
# ZnCd2GaAg5

An optimized crystal structure of ZnCd2GaAg5 (PBE, Alexandria).

a b c (Å): 8.621 8.621 13.288
angles (deg): 90.00 90.00 160.34
Fractional positions:
Zn 0.228 0.772 0.500
Zn 0.772 0.228 0.000
Cd 0.370 0.630 0.162
Cd 0.376 0.624 0.840
Cd 0.624 0.376 0.340
Cd 0.630 0.370 0.662
Ga 0.113 0.887 0.989
Ga 0.887 0.113 0.489
Ag 0.032 0.968 0.811
Ag 0.051 0.949 0.502
Ag 0.201 0.799 0.165
Ag 0.208 0.792 0.831
Ag 0.453 0.547 0.646
Ag 0.547 0.453 0.146
Ag 0.792 0.208 0.331
Ag 0.799 0.201 0.665
Ag 0.949 0.051 0.002
Ag 0.968 0.032 0.311

***

| no. | electronic total energy (eV/atom) | ΔE_f (eV/atom) | density (g cm⁻³) |
| --- | --- | --- | --- |
| 1 | -4.27 | 0.0160 | 6.92 |
| 2 | -2.26 | 0.0030 | 8.99 |